# Pr2Dy3In3 | the Alexandria database | PBE | relaxed
# **N(E_F)**: 14.50 states/eV/cell
# **Total moment**: 0.000 μB/f.u.
# **Uncorrected energy**: -4.294 eV/atom
# **ΔE_f**: -347 meV per atom
data_Pr2Dy3In3
_chemical_formula_sum 'Pr4 Dy6 In6'
_cell_length_a 4.550
_cell_length_b 4.922
_cell_length_c 20.503
_cell_angle_alpha 90.00
_cell_angle_beta 90.00
_cell_angle_gamma 90.00
_space_group_name_H-M_alt 'I m m m'
_space_group_IT_number 71
_space_group_name_Hall '-I 2 2'
loop_
_atom_site_label
_atom_site_type_symbol
_atom_site_fract_x
_atom_site_fract_y
_atom_site_fract_z
Pr1 Pr 0.000 0.000 0.239
Dy1 Dy 0.000 0.000 0.000
Dy2 Dy 0.000 0.500 0.116
In1 In 0.000 0.000 0.500
In2 In 0.000 0.500 0.379

# Pr6Dy8In | the Alexandria database | PBE | relaxed
# **N(E_F)**: 17.87 states/eV/cell
# **Total moment**: 0.000 μB/f.u.
# **Uncorrected energy**: -4.485 eV/atom
# **ΔE_f**: 63 meV per atom
data_Pr6Dy8In
_chemical_formula_sum 'Pr6 Dy8 In1'
_cell_length_a 9.4968
_cell_length_b 9.4968
_cell_length_c 6.4553
_cell_angle_alpha 90.00
_cell_angle_beta 90.00
_cell_angle_gamma 120.00
_space_group_name_H-M_alt 'P -3'
_space_group_IT_number 147
loop_
_space_group_symop_operation_xyz
'x,y,z'
'-x,-y,-z'
'-y,x-y,z'
'y,-x+y,-z'
'-x+y,-x,z'
'x-y,x,-z'
loop_
_atom_site_label
_atom_site_type_symbol
_atom_site_fract_x
_atom_site_fract_y
_atom_site_fract_z
Pr1 Pr 0.0893 0.4485 0.3171
Dy1 Dy 0.0391 0.2622 0.8130
Dy2 Dy 0.3333 0.6667 0.8363
In1 In 0.0000 0.0000 0.5000

# Pr3DyIn3 | the Alexandria database | PBE | relaxed
# **N(E_F)**: 33.02 states/eV/cell
# **Total moment**: 0.000 μB/f.u.
# **Uncorrected energy**: -4.158 eV/atom
# **ΔE_f**: -279 meV per atom
data_Pr3DyIn3
_chemical_formula_sum 'Pr12 Dy4 In12'
_cell_length_a 8.328
_cell_length_b 10.799
_cell_length_c 9.888
_cell_angle_alpha 90.00
_cell_angle_beta 91.73
_cell_angle_gamma 90.00
_space_group_name_H-M_alt 'C 1 2/m 1'
_space_group_IT_number 12
loop_
_space_group_symop_operation_xyz
'x,y,z'
'-x,-y,-z'
'-x,y,-z'
'x,-y,z'
'x+1/2,y+1/2,z'
'-x+1/2,-y+1/2,-z'
'-x+1/2,y+1/2,-z'
'x+1/2,-y+1/2,z'
loop_
_atom_site_label
_atom_site_type_symbol
_atom_site_fract_x
_atom_site_fract_y
_atom_site_fract_z
Pr1 Pr 0.000 0.180 0.000
Pr2 Pr 0.000 0.236 0.500
Pr3 Pr 0.092 0.500 0.819
Dy1 Dy 0.220 0.500 0.460
In1 In 0.023 0.000 0.269
In2 In 0.235 0.286 0.241

# Pr6Dy2In3 | the Alexandria database | PBE | relaxed
# **N(E_F)**: 15.41 states/eV/cell
# **Total moment**: 0.000 μB/f.u.
# **Uncorrected energy**: -4.014 eV/atom
# **ΔE_f**: 176 meV per atom
data_Pr6Dy2In3
_chemical_formula_sum 'Pr12 Dy4 In6'
_cell_length_a 5.531
_cell_length_b 5.531
_cell_length_c 24.730
_cell_angle_alpha 90.00
_cell_angle_beta 90.00
_cell_angle_gamma 90.00
_space_group_name_H-M_alt 'I 4/m m m'
_space_group_IT_number 139
_space_group_name_Hall '-I 4 2'
loop_
_atom_site_label
_atom_site_type_symbol
_atom_site_fract_x
_atom_site_fract_y
_atom_site_fract_z
Pr1 Pr 0.000 0.000 0.199
Pr2 Pr 0.000 0.500 0.098
Dy1 Dy 0.000 0.000 0.058
In1 In 0.000 0.000 0.327
In2 In 0.000 0.000 0.500

# Pr6DyIn3 | the Alexandria database | PBE | relaxed
# **N(E_F)**: 50.97 states/eV/cell
# **Total moment**: 0.001 μB/f.u.
# **Uncorrected energy**: -4.329 eV/atom
# **ΔE_f**: -180 meV per atom
data_Pr6DyIn3
_chemical_formula_sum 'Pr24 Dy4 In12'
_cell_length_a 11.496
_cell_length_b 17.310
_cell_length_c 6.828
_cell_angle_alpha 90.00
_cell_angle_beta 90.00
_cell_angle_gamma 90.00
_space_group_name_H-M_alt 'C m c 21'
_space_group_IT_number 36
loop_
_space_group_symop_operation_xyz
'x,y,z'
'-x,-y,z+1/2'
'-x,y,z'
'x,-y,z+1/2'
'x+1/2,y+1/2,z'
'-x+1/2,-y+1/2,z+1/2'
'-x+1/2,y+1/2,z'
'x+1/2,-y+1/2,z+1/2'
loop_
_atom_site_label
_atom_site_type_symbol
_atom_site_fract_x
_atom_site_fract_y
_atom_site_fract_z
Pr1 Pr 0.000 0.030 0.000
Pr2 Pr 0.000 0.335 0.825
Pr3 Pr 0.167 0.489 0.042
Pr4 Pr 0.228 0.181 0.796
Dy1 Dy 0.000 0.203 0.442
In1 In 0.000 0.379 0.314
In2 In 0.208 0.131 0.262

# PrDy4In | the Alexandria database | PBE | relaxed
# **N(E_F)**: 7.00 states/eV/cell
# **Total moment**: 0.000 μB/f.u.
# **Uncorrected energy**: -4.467 eV/atom
# **ΔE_f**: -146 meV per atom
data_PrDy4In
_chemical_formula_sum 'Pr1 Dy4 In1'
_cell_length_a 3.601
_cell_length_b 3.601
_cell_length_c 14.309
_cell_angle_alpha 90.00
_cell_angle_beta 90.00
_cell_angle_gamma 90.00
_space_group_name_H-M_alt 'P 4/m m m'
_space_group_IT_number 123
_space_group_name_Hall '-P 4 2'
loop_
_atom_site_label
_atom_site_type_symbol
_atom_site_fract_x
_atom_site_fract_y
_atom_site_fract_z
Pr1 Pr 0.000 0.000 0.000
Dy1 Dy 0.000 0.000 0.355
Dy2 Dy 0.500 0.500 0.180
In1 In 0.500 0.500 0.500

# Pr7DyIn4 | the Alexandria database | PBE | relaxed
# **N(E_F)**: 26.69 states/eV/cell
# **Total moment**: 0.000 μB/f.u.
# **Uncorrected energy**: -4.229 eV/atom
# **ΔE_f**: -145 meV per atom
data_Pr7DyIn4
_chemical_formula_sum 'Pr14 Dy2 In8'
_cell_length_a 14.818
_cell_length_b 5.886
_cell_length_c 10.823
_cell_angle_alpha 90.00
_cell_angle_beta 123.46
_cell_angle_gamma 90.00
_space_group_name_H-M_alt 'C 1 2/m 1'
_space_group_IT_number 12
loop_
_space_group_symop_operation_xyz
'x,y,z'
'-x,-y,-z'
'-x,y,-z'
'x,-y,z'
'x+1/2,y+1/2,z'
'-x+1/2,-y+1/2,-z'
'-x+1/2,y+1/2,-z'
'x+1/2,-y+1/2,z'
loop_
_atom_site_label
_atom_site_type_symbol
_atom_site_fract_x
_atom_site_fract_y
_atom_site_fract_z
Pr1 Pr 0.000 0.000 0.000
Pr2 Pr 0.063 0.500 0.392
Pr3 Pr 0.204 0.500 0.882
Pr4 Pr 0.221 0.000 0.660
Dy1 Dy 0.000 0.500 0.000
In1 In 0.056 0.000 0.752
In2 In 0.181 0.000 0.333

# Pr6Dy3In | the Alexandria database | PBE | relaxed
# **N(E_F)**: 27.50 states/eV/cell
# **Total moment**: 0.000 μB/f.u.
# **Uncorrected energy**: -4.518 eV/atom
# **ΔE_f**: 4 meV per atom
data_Pr6Dy3In
_chemical_formula_sum 'Pr12 Dy6 In2'
_cell_length_a 12.547
_cell_length_b 3.646
_cell_length_c 14.972
_cell_angle_alpha 90.00
_cell_angle_beta 94.11
_cell_angle_gamma 90.00
_space_group_name_H-M_alt 'P 1 21/m 1'
_space_group_IT_number 11
loop_
_space_group_symop_operation_xyz
'x,y,z'
'-x,-y,-z'
'-x,y+1/2,-z'
'x,-y+1/2,z'
loop_
_atom_site_label
_atom_site_type_symbol
_atom_site_fract_x
_atom_site_fract_y
_atom_site_fract_z
Pr1 Pr 0.060 0.250 0.394
Pr2 Pr 0.118 0.750 0.955
Pr3 Pr 0.201 0.250 0.749
Pr4 Pr 0.294 0.750 0.315
Pr5 Pr 0.311 0.250 0.109
Pr6 Pr 0.389 0.250 0.498
Dy1 Dy 0.073 0.750 0.183
Dy2 Dy 0.400 0.750 0.920
Dy3 Dy 0.447 0.750 0.698
In1 In 0.194 0.750 0.558

# PrDy2In2 | the Alexandria database | PBE | relaxed
# **N(E_F)**: 9.21 states/eV/cell
# **Total moment**: 0.000 μB/f.u.
# **Uncorrected energy**: -4.265 eV/atom
# **ΔE_f**: -373 meV per atom
data_PrDy2In2
_chemical_formula_sum 'Pr2 Dy4 In4'
_cell_length_a 3.797
_cell_length_b 5.446
_cell_length_c 14.156
_cell_angle_alpha 90.00
_cell_angle_beta 97.72
_cell_angle_gamma 90.00
_space_group_name_H-M_alt 'P 1 21/m 1'
_space_group_IT_number 11
loop_
_space_group_symop_operation_xyz
'x,y,z'
'-x,-y,-z'
'-x,y+1/2,-z'
'x,-y+1/2,z'
loop_
_atom_site_label
_atom_site_type_symbol
_atom_site_fract_x
_atom_site_fract_y
_atom_site_fract_z
Pr1 Pr 0.146 0.250 0.295
Dy1 Dy 0.049 0.750 0.098
Dy2 Dy 0.236 0.750 0.473
In1 In 0.357 0.250 0.713
In2 In 0.453 0.750 0.907

# Pr2DyIn4 | the Alexandria database | PBE | relaxed
# **N(E_F)**: 21.92 states/eV/cell
# **Total moment**: 1.412 μB/f.u.
# **Uncorrected energy**: -3.476 eV/atom
# **ΔE_f**: 112 meV per atom
data_Pr2DyIn4
_chemical_formula_sum 'Pr4 Dy2 In8'
_cell_length_a 5.638
_cell_length_b 5.638
_cell_length_c 16.242
_cell_angle_alpha 90.00
_cell_angle_beta 90.00
_cell_angle_gamma 90.00
_space_group_name_H-M_alt 'I 4/m m m'
_space_group_IT_number 139
_space_group_name_Hall '-I 4 2'
loop_
_atom_site_label
_atom_site_type_symbol
_atom_site_fract_x
_atom_site_fract_y
_atom_site_fract_z
Pr1 Pr 0.000 0.000 0.113
Dy1 Dy 0.000 0.000 0.500
In1 In 0.000 0.000 0.314
In2 In 0.000 0.500 0.000

# PrDyIn2 | the Alexandria database | PBE | relaxed
# **N(E_F)**: 7.40 states/eV/cell
# **Total moment**: 0.000 μB/f.u.
# **Uncorrected energy**: -4.190 eV/atom
# **ΔE_f**: -476 meV per atom
data_PrDyIn2
_chemical_formula_sum 'Pr4 Dy4 In8'
_cell_length_a 7.664
_cell_length_b 7.664
_cell_length_c 7.664
_cell_angle_alpha 90.00
_cell_angle_beta 90.00
_cell_angle_gamma 90.00
_space_group_name_H-M_alt 'F m -3 m'
_space_group_IT_number 225
_space_group_name_Hall '-F 4 2 3'
loop_
_atom_site_label
_atom_site_type_symbol
_atom_site_fract_x
_atom_site_fract_y
_atom_site_fract_z
Pr1 Pr 0.000 0.000 0.000
Dy1 Dy 0.000 0.000 0.500
In1 In 0.250 0.250 0.250

# Pr4DyIn5 | the Alexandria database | PBE | relaxed
# **N(E_F)**: 5.63 states/eV/cell
# **Total moment**: 0.000 μB/f.u.
# **Uncorrected energy**: -4.232 eV/atom
# **ΔE_f**: -491 meV per atom
data_Pr4DyIn5
_chemical_formula_sum 'Pr4 Dy1 In5'
_cell_length_a 3.862
_cell_length_b 3.862
_cell_length_c 19.515
_cell_angle_alpha 90.00
_cell_angle_beta 90.00
_cell_angle_gamma 90.00
_space_group_name_H-M_alt 'P 4/m m m'
_space_group_IT_number 123
_space_group_name_Hall '-P 4 2'
loop_
_atom_site_label
_atom_site_type_symbol
_atom_site_fract_x
_atom_site_fract_y
_atom_site_fract_z
Pr1 Pr 0.000 0.000 0.102
Pr2 Pr 0.000 0.000 0.306
Dy1 Dy 0.000 0.000 0.500
In1 In 0.500 0.500 0.000
In2 In 0.500 0.500 0.204
In3 In 0.500 0.500 0.409

# Pr6Dy2In | the Alexandria database | PBE | relaxed
# **N(E_F)**: 27.18 states/eV/cell
# **Total moment**: 0.001 μB/f.u.
# **Uncorrected energy**: -4.579 eV/atom
# **ΔE_f**: -66 meV per atom
data_Pr6Dy2In
_chemical_formula_sum 'Pr12 Dy4 In2'
_cell_length_a 10.944
_cell_length_b 10.944
_cell_length_c 5.036
_cell_angle_alpha 90.00
_cell_angle_beta 90.00
_cell_angle_gamma 90.00
_space_group_name_H-M_alt 'P 42/m n m'
_space_group_IT_number 136
_space_group_name_Hall '-P 4n 2n'
loop_
_atom_site_label
_atom_site_type_symbol
_atom_site_fract_x
_atom_site_fract_y
_atom_site_fract_z
Pr1 Pr 0.004 0.332 0.000
Pr2 Pr 0.157 0.157 0.500
Dy1 Dy 0.162 0.838 0.500
In1 In 0.000 0.000 0.000

# Pr3Dy3In5 | the Alexandria database | PBE | relaxed
# **N(E_F)**: 11.06 states/eV/cell
# **Total moment**: 0.003 μB/f.u.
# **Uncorrected energy**: -3.631 eV/atom
# **ΔE_f**: 172 meV per atom
data_Pr3Dy3In5
_chemical_formula_sum 'Pr3 Dy3 In5'
_cell_length_a 9.0844
_cell_length_b 9.0844
_cell_length_c 5.7693
_cell_angle_alpha 90.00
_cell_angle_beta 90.00
_cell_angle_gamma 120.00
_space_group_name_H-M_alt 'P -6 2 m'
_space_group_IT_number 189
_space_group_name_Hall 'P -6 -2'
loop_
_atom_site_label
_atom_site_type_symbol
_atom_site_fract_x
_atom_site_fract_y
_atom_site_fract_z
Pr1 Pr 0.0000 0.5291 0.0000
Dy1 Dy 0.0000 0.2723 0.5000
In1 In 0.0000 0.6408 0.5000
In2 In 0.3333 0.6667 0.5000

# PrDy6In | the Alexandria database | PBE | relaxed
# **N(E_F)**: 9.19 states/eV/cell
# **Total moment**: 0.000 μB/f.u.
# **Uncorrected energy**: -4.497 eV/atom
# **ΔE_f**: -105 meV per atom
data_PrDy6In
_chemical_formula_sum 'Pr1 Dy6 In1'
_cell_length_a 4.920
_cell_length_b 4.920
_cell_length_c 10.089
_cell_angle_alpha 90.00
_cell_angle_beta 90.00
_cell_angle_gamma 90.00
_space_group_name_H-M_alt 'P 4/m m m'
_space_group_IT_number 123
_space_group_name_Hall '-P 4 2'
loop_
_atom_site_label
_atom_site_type_symbol
_atom_site_fract_x
_atom_site_fract_y
_atom_site_fract_z
Pr1 Pr 0.000 0.000 0.000
Dy1 Dy 0.000 0.500 0.259
Dy2 Dy 0.500 0.500 0.000
Dy3 Dy 0.500 0.500 0.500
In1 In 0.000 0.000 0.500

# Pr2Dy8In | the Alexandria database | PBE | relaxed
# **N(E_F)**: 29.61 states/eV/cell
# **Total moment**: 0.000 μB/f.u.
# **Uncorrected energy**: -4.523 eV/atom
# **ΔE_f**: -58 meV per atom
data_Pr2Dy8In
_chemical_formula_sum 'Pr4 Dy16 In2'
_cell_length_a 18.122
_cell_length_b 4.973
_cell_length_c 7.916
_cell_angle_alpha 90.00
_cell_angle_beta 105.25
_cell_angle_gamma 90.00
_space_group_name_H-M_alt 'C 1 2/m 1'
_space_group_IT_number 12
loop_
_space_group_symop_operation_xyz
'x,y,z'
'-x,-y,-z'
'-x,y,-z'
'x,-y,z'
'x+1/2,y+1/2,z'
'-x+1/2,-y+1/2,-z'
'-x+1/2,y+1/2,-z'
'x+1/2,-y+1/2,z'
loop_
_atom_site_label
_atom_site_type_symbol
_atom_site_fract_x
_atom_site_fract_y
_atom_site_fract_z
Pr1 Pr 0.222 0.000 0.135
Dy1 Dy 0.044 0.000 0.225
Dy2 Dy 0.088 0.500 0.942
Dy3 Dy 0.133 0.000 0.673
Dy4 Dy 0.180 0.500 0.409
In1 In 0.000 0.500 0.500

# Pr2DyIn | the Alexandria database | PBE | relaxed
# **N(E_F)**: 30.47 states/eV/cell
# **Total moment**: 0.123 μB/f.u.
# **Uncorrected energy**: -4.377 eV/atom
# **ΔE_f**: -152 meV per atom
data_Pr2DyIn
_chemical_formula_sum 'Pr8 Dy4 In4'
_cell_length_a 7.914
_cell_length_b 7.914
_cell_length_c 7.914
_cell_angle_alpha 90.00
_cell_angle_beta 90.00
_cell_angle_gamma 90.00
_space_group_name_H-M_alt 'F m -3 m'
_space_group_IT_number 225
_space_group_name_Hall '-F 4 2 3'
loop_
_atom_site_label
_atom_site_type_symbol
_atom_site_fract_x
_atom_site_fract_y
_atom_site_fract_z
Pr1 Pr 0.250 0.250 0.250
Dy1 Dy 0.000 0.000 0.000
In1 In 0.000 0.000 0.500

# Pr2Dy4In | the Alexandria database | PBE | relaxed
# **N(E_F)**: 17.07 states/eV/cell
# **Total moment**: 0.000 μB/f.u.
# **Uncorrected energy**: -4.375 eV/atom
# **ΔE_f**: 11 meV per atom
data_Pr2Dy4In
_chemical_formula_sum 'Pr4 Dy8 In2'
_cell_length_a 6.503
_cell_length_b 11.918
_cell_length_c 6.519
_cell_angle_alpha 90.00
_cell_angle_beta 116.71
_cell_angle_gamma 90.00
_space_group_name_H-M_alt 'P 1 21/c 1'
_space_group_IT_number 14
loop_
_space_group_symop_operation_xyz
'x,y,z'
'-x,-y,-z'
'-x,y+1/2,-z+1/2'
'x,-y+1/2,z+1/2'
loop_
_atom_site_label
_atom_site_type_symbol
_atom_site_fract_x
_atom_site_fract_y
_atom_site_fract_z
Pr1 Pr 0.210 0.045 0.397
Dy1 Dy 0.110 0.179 0.857
Dy2 Dy 0.396 0.742 0.174
In1 In 0.500 0.000 0.000

# Pr6Dy12In | the Alexandria database | PBE | relaxed
# **N(E_F)**: 72.61 states/eV/cell
# **Total moment**: 0.000 μB/f.u.
# **Uncorrected energy**: -4.494 eV/atom
# **ΔE_f**: 66 meV per atom
data_Pr6Dy12In
_chemical_formula_sum 'Pr18 Dy36 In3'
_cell_length_a 12.0042
_cell_length_b 12.0042
_cell_length_c 15.0133
_cell_angle_alpha 90.00
_cell_angle_beta 90.00
_cell_angle_gamma 120.00
_space_group_name_H-M_alt 'R -3'
_space_group_IT_number 148
_space_group_name_Hall '-R 3'
loop_
_atom_site_label
_atom_site_type_symbol
_atom_site_fract_x
_atom_site_fract_y
_atom_site_fract_z
Pr1 Pr 0.0126 0.5909 0.1827
Dy1 Dy 0.0009 0.1722 0.6863
Dy2 Dy 0.0458 0.1933 0.9161
In1 In 0.0000 0.0000 0.5000

# Pr3Dy3In | the Alexandria database | PBE | relaxed
# **N(E_F)**: 18.95 states/eV/cell
# **Total moment**: 0.001 μB/f.u.
# **Uncorrected energy**: -4.523 eV/atom
# **ΔE_f**: -111 meV per atom
data_Pr3Dy3In
_chemical_formula_sum 'Pr6 Dy6 In2'
_cell_length_a 9.5603
_cell_length_b 9.5603
_cell_length_c 5.6594
_cell_angle_alpha 90.00
_cell_angle_beta 90.00
_cell_angle_gamma 120.00
_space_group_name_H-M_alt 'P 63/m'
_space_group_IT_number 176
_space_group_name_Hall '-P 6c'
loop_
_atom_site_label
_atom_site_type_symbol
_atom_site_fract_x
_atom_site_fract_y
_atom_site_fract_z
Pr1 Pr 0.1058 0.6313 0.2500
Dy1 Dy 0.0592 0.8227 0.7500
In1 In 0.3333 0.6667 0.7500